VASP calculation (PBE-GGA) on a geometry-optimized Cs4TaTe4 structure. Values from VASP.

Results
Size of the total moment in μB per atom: 0.11
Polymorph energy (0 for the lowest one) in meV/atom: 0.0
Raw formation energy in eV/atom: -0.812

Geometry as Quantum ESPRESSO input:
```
&SYSTEM
  ibrav = 0, nat = 18, ntyp = 3
/
ATOMIC_SPECIES
Ta 180.95 Ta.upf
Te 127.60 Te.upf
Cs 132.91 Cs.upf
ATOMIC_POSITIONS crystal
Ta 0.500 0.500 0.500
Te 0.678 0.290 0.500
Cs 0.840 0.500 0.775
Ta 0.000 0.000 0.000
Te 0.322 0.500 0.710
Te 0.178 0.000 0.210
Te 0.822 0.210 0.000
Cs 0.840 0.500 0.225
Te 0.822 0.790 0.000
Te 0.678 0.710 0.500
Cs 0.340 0.275 0.000
Cs 0.660 0.000 0.275
Cs 0.340 0.725 0.000
Cs 0.660 0.000 0.725
Te 0.322 0.500 0.290
Te 0.178 0.000 0.790
Cs 0.160 0.775 0.500
Cs 0.160 0.225 0.500
CELL_PARAMETERS angstrom
8.095 0.000 0.000
0.000 10.784 0.000
0.000 0.000 10.784
```